Version 1
PBE YAsPdBr2, optimized geometry; crystal system = tetragonal; symmetry = P4/mmm, No. 123
1.0
5.463 0.000 0.000
0.000 5.463 0.000
0.000 0.000 5.759
Y As Pd Br
1 1 1 2
Cartesian
0.000 0.000 0.000 Y
0.000 0.000 2.879 As
2.732 2.732 2.879 Pd
0.000 2.732 0.000 Br
2.732 0.000 0.000 Br


Version 2
PBE YAsPdBr2, optimized geometry; crystal system = tetragonal; symmetry = P4/mmm, No. 123
1.0
4.947 0.000 0.000
0.000 4.947 0.000
0.000 0.000 5.250
Y As Pd Br
1 1 1 2
Cartesian
0.000 0.000 0.000 Y
2.474 2.474 0.000 As
2.474 2.474 2.625 Pd
0.000 2.474 2.625 Br
2.474 0.000 2.625 Br


Top of the stability list: version 2, leading by 12.2 kJ/mol of atoms.


Version 1
PBE ZnAs2PdBr, optimized geometry; crystal system = tetragonal; symmetry = P4/mmm, No. 123
1.0
4.882 0.000 0.000
0.000 4.882 0.000
0.000 0.000 5.317
Zn As Pd Br
1 2 1 1
Cartesian
0.000 0.000 0.000 Zn
0.000 2.441 2.659 As
2.441 0.000 2.659 As
2.441 2.441 2.659 Pd
2.441 2.441 0.000 Br


Version 2
PBE ZnAs2PdBr, optimized geometry; crystal system = tetragonal; symmetry = P4/mmm, No. 123
1.0
4.784 0.000 0.000
0.000 4.784 0.000
0.000 0.000 5.171
Zn As Pd Br
1 2 1 1
Cartesian
0.000 0.000 0.000 Zn
0.000 2.392 0.000 As
2.392 0.000 0.000 As
2.392 2.392 2.585 Pd
0.000 0.000 2.585 Br


Top of the stability list: version 1, leading by 22.0 kJ/mol of atoms.


Version 1
PBE ZrAs2PdBr, optimized geometry; crystal system = tetragonal; symmetry = P4/mmm, No. 123
1.0
5.210 0.000 0.000
0.000 5.210 0.000
0.000 0.000 5.231
Zr As Pd Br
1 2 1 1
Cartesian
0.000 0.000 0.000 Zr
0.000 2.605 0.000 As
2.605 0.000 0.000 As
2.605 2.605 2.616 Pd
0.000 0.000 2.616 Br


Version 2
PBE ZrAs2PdBr, optimized geometry; crystal system = tetragonal; symmetry = P4/mmm, No. 123
1.0
4.864 0.000 0.000
0.000 4.864 0.000
0.000 0.000 4.939
Zr As Pd Br
1 2 1 1
Cartesian
0.000 0.000 0.000 Zr
0.000 2.432 2.470 As
2.432 0.000 2.470 As
2.432 2.432 2.470 Pd
2.432 2.432 0.000 Br


Top of the stability list: version 1, leading by 4.6 kJ/mol of atoms.


Version 1
PBE ZrAsPdBr2, optimized geometry; crystal system = tetragonal; symmetry = P4/mmm, No. 123
1.0
4.937 0.000 0.000
0.000 4.937 0.000
0.000 0.000 5.109
Zr As Pd Br
1 1 1 2
Cartesian
0.000 0.000 0.000 Zr
2.469 2.469 0.000 As
2.469 2.469 2.554 Pd
0.000 2.469 2.554 Br
2.469 0.000 2.554 Br


Version 2
PBE ZrAsPdBr2, optimized geometry; crystal system = tetragonal; symmetry = P4/mmm, No. 123
1.0
5.266 0.000 0.000
0.000 5.266 0.000
0.000 0.000 5.299
Zr As Pd Br
1 1 1 2
Cartesian
0.000 0.000 0.000 Zr
0.000 0.000 2.650 As
2.633 2.633 2.650 Pd
0.000 2.633 0.000 Br
2.633 0.000 0.000 Br


Top of the stability list: version 2, leading by 28.2 kJ/mol of atoms.